No. 1
VASP calculation (PBE) on a geometry-optimized TbPm3Sm4Te8 structure.

E_form (uncorrected) = -1.378 eV/atom

Structure (CIF):
```
data_TbPm3Sm4Te8
_chemical_formula_sum 'Tb3 Pm9 Sm12 Te24'
_cell_length_a 8.8943
_cell_length_b 8.8943
_cell_length_c 21.7512
_cell_angle_alpha 90.00
_cell_angle_beta 90.00
_cell_angle_gamma 120.00
_space_group_name_H-M_alt 'R -3 m'
_space_group_IT_number 166
_space_group_name_Hall '-R 3 2"'
loop_
_atom_site_label
_atom_site_type_symbol
_atom_site_fract_x
_atom_site_fract_y
_atom_site_fract_z
Tb1 Tb 0.0000 0.0000 0.0000
Pm1 Pm 0.0000 0.5000 0.0000
Sm1 Sm 0.0000 0.0000 0.5000
Sm2 Sm 0.0000 0.5000 0.5000
Te1 Te 0.0000 0.0000 0.2494
Te2 Te 0.0037 0.5019 0.7497
```



No. 2
VASP calculation (PBE) on a geometry-optimized Fe2IrPd5 structure.

E_form = -0.3 eV/f.u.

Structure (CIF):
```
data_Fe2IrPd5
_chemical_formula_sum 'Fe4 Ir2 Pd10'
_cell_length_a 5.5151
_cell_length_b 11.0220
_cell_length_c 3.8503
_cell_angle_alpha 90.00
_cell_angle_beta 90.00
_cell_angle_gamma 90.00
_space_group_name_H-M_alt 'P b a m'
_space_group_IT_number 55
_space_group_name_Hall '-P 2 2ab'
loop_
_atom_site_label
_atom_site_type_symbol
_atom_site_fract_x
_atom_site_fract_y
_atom_site_fract_z
Fe1 Fe 0.2418 0.1221 0.0000
Ir1 Ir 0.0000 0.0000 0.5000
Pd1 Pd 0.0000 0.5000 0.5000
Pd2 Pd 0.0012 0.7511 0.5000
Pd3 Pd 0.2488 0.8766 0.0000
```



No. 3
VASP calculation (PBE) on a geometry-optimized SmY3Mg2 structure.

E_form = -0.4 eV/f.u.

Structure (CIF):
```
data_SmY3Mg2
_chemical_formula_sum 'Sm1 Y3 Mg2'
_cell_length_a 3.6844
_cell_length_b 3.6844
_cell_length_c 13.0200
_cell_angle_alpha 90.00
_cell_angle_beta 90.00
_cell_angle_gamma 90.00
_space_group_name_H-M_alt 'P 4/m m m'
_space_group_IT_number 123
_space_group_name_Hall '-P 4 2'
loop_
_atom_site_label
_atom_site_type_symbol
_atom_site_fract_x
_atom_site_fract_y
_atom_site_fract_z
Sm1 Sm 0.0000 0.0000 0.0000
Y1 Y 0.5000 0.5000 0.1921
Y2 Y 0.5000 0.5000 0.5000
Mg1 Mg 0.0000 0.0000 0.3482
```



No. 4
VASP calculation (PBE) on a geometry-optimized La5Sn2Au structure.

E_form = -5.4 eV/f.u.
energy relative to the lowest polymorph listed for this composition = 0 meV/atom

Structure (CIF):
```
data_La5Sn2Au
_chemical_formula_sum 'La10 Sn4 Au2'
_cell_length_a 8.2816
_cell_length_b 12.9402
_cell_length_c 4.9157
_cell_angle_alpha 90.00
_cell_angle_beta 90.00
_cell_angle_gamma 90.00
_space_group_name_H-M_alt 'P b a m'
_space_group_IT_number 55
_space_group_name_Hall '-P 2 2ab'
loop_
_atom_site_label
_atom_site_type_symbol
_atom_site_fract_x
_atom_site_fract_y
_atom_site_fract_z
La1 La 0.0000 0.0000 0.0000
La2 La 0.1582 0.2821 0.0000
La3 La 0.1892 0.5664 0.5000
Sn1 Sn 0.0705 0.8292 0.5000
Au1 Au 0.0000 0.5000 0.0000
```



No. 5
VASP calculation (PBE) on a geometry-optimized Ga3SiN structure.

E_form (uncorrected) = 0.492 eV/atom
energy relative to the lowest polymorph listed for this composition = 0 meV/atom

Structure (CIF):
```
data_Ga3SiN
_chemical_formula_sum 'Ga3 Si1 N1'
_cell_length_a 4.2804
_cell_length_b 4.2804
_cell_length_c 4.2804
_cell_angle_alpha 90.00
_cell_angle_beta 90.00
_cell_angle_gamma 90.00
_space_group_name_H-M_alt 'P m -3 m'
_space_group_IT_number 221
_space_group_name_Hall '-P 4 2 3'
loop_
_atom_site_label
_atom_site_type_symbol
_atom_site_fract_x
_atom_site_fract_y
_atom_site_fract_z
Ga1 Ga 0.0000 0.0000 0.5000
Si1 Si 0.5000 0.5000 0.5000
N1 N 0.0000 0.0000 0.0000
```



No. 6
VASP calculation (PBE) on a geometry-optimized CaCe2Cd6 structure.

E_form = -2.5 eV/f.u.

Structure (CIF):
```
data_CaCe2Cd6
_chemical_formula_sum 'Ca2 Ce4 Cd12'
_cell_length_a 15.2592
_cell_length_b 8.8129
_cell_length_c 3.3895
_cell_angle_alpha 90.00
_cell_angle_beta 90.01
_cell_angle_gamma 90.00
_space_group_name_H-M_alt 'C 1 2/m 1'
_space_group_IT_number 12
_space_group_name_Hall '-C 2y'
loop_
_atom_site_label
_atom_site_type_symbol
_atom_site_fract_x
_atom_site_fract_y
_atom_site_fract_z
Ca1 Ca 0.0000 0.0000 0.0000
Ce1 Ce 0.1667 0.5000 0.0000
Cd1 Cd 0.0000 0.3321 0.5000
Cd2 Cd 0.1660 0.1658 0.4985
```



These records have total energy values of -5.309, -6.504, -4.610, -5.169, -4.074, -2.425 eV per atom, in the order they appear.